(1)
{
  "formula": "TeRhBrN2",
  "functional": "PBE",
  "state": "relaxed",
  "relative_energy_mev_per_atom": 0,
  "formation_energy_uncorrected_ev_per_atom": 1.117,
  "cell": [[3.9509, 0.0000, 0.0000], [0.0000, 3.9509, 0.0000], [0.0000, 0.0000, 5.8190]],
  "species": ["Te", "Rh", "Br", "N", "N"],
  "fractional_positions": [[0.0000, 0.0000, 0.0000], [0.0000, 0.0000, 0.5000], [0.5000, 0.5000, 0.0000], [0.0000, 0.5000, 0.5000], [0.5000, 0.0000, 0.5000]]
}

(2)
{
  "formula": "LaAgO2",
  "functional": "PBE",
  "state": "relaxed",
  "formation_energy_uncorrected_ev_per_atom": -1.956,
  "cell": [[-2.5592, 2.5592, 5.9435], [2.5592, -2.5592, 5.9435], [2.5592, 2.5592, -5.9435]],
  "species": ["La", "La", "Ag", "Ag", "O", "O", "O", "O"],
  "fractional_positions": [[0.0000, 0.0000, 0.0000], [0.7500, 0.2500, 0.5000], [0.2500, 0.7500, 0.5000], [0.5000, 0.5000, 0.0000], [0.1090, 0.6250, 0.9840], [0.3750, 0.3590, 0.4840], [0.6410, 0.1250, 0.0160], [0.8750, 0.8910, 0.5160]]
}

(3)
{
  "formula": "Nd2GaPt3",
  "functional": "PBE",
  "state": "relaxed",
  "formation_energy_mev_per_atom": -1010.1,
  "cell": [[0.0000, 4.5121, 7.6562], [3.8366, 0.0000, 7.6562], [3.8366, 4.5121, 0.0000]],
  "species": ["Nd", "Nd", "Nd", "Nd", "Ga", "Ga", "Pt", "Pt", "Pt", "Pt", "Pt", "Pt"],
  "fractional_positions": [[0.2444, 0.7556, 0.7556], [0.2500, 0.2500, 0.2500], [0.7500, 0.7500, 0.7500], [0.7556, 0.2444, 0.2444], [0.3327, 0.3327, 0.6673], [0.6673, 0.6673, 0.3327], [0.1701, 0.1701, 0.8299], [0.1741, 0.6519, 0.3481], [0.3481, 0.8259, 0.1741], [0.6519, 0.1741, 0.8259], [0.8259, 0.3481, 0.6519], [0.8299, 0.8299, 0.1701]]
}

(4)
{
  "formula": "KGeAu3",
  "functional": "PBE",
  "state": "relaxed",
  "formation_energy_mev_per_atom": 1256.9,
  "cell": [[5.4935, 0.0000, 0.0000], [0.0000, 5.4935, 0.0000], [0.0000, 0.0000, 5.4935]],
  "species": ["K", "Ge", "Au", "Au", "Au"],
  "fractional_positions": [[0.0000, 0.0000, 0.0000], [0.5000, 0.5000, 0.5000], [0.0000, 0.0000, 0.5000], [0.0000, 0.5000, 0.0000], [0.5000, 0.0000, 0.0000]]
}

(5)
{
  "formula": "AlSb3",
  "functional": "PBE",
  "state": "relaxed",
  "relative_energy_mev_per_atom": 96,
  "formation_energy_uncorrected_ev_per_atom": 0.148,
  "cell": [[4.0530, 0.0000, 0.0000], [-2.0265, 3.5100, 0.0000], [0.0000, 0.0000, 7.6373]],
  "species": ["Al", "Sb", "Sb", "Sb"],
  "fractional_positions": [[0.0000, 0.0000, 0.0000], [0.0000, 0.0000, 0.5000], [0.6667, 0.3333, 0.2239], [0.6667, 0.3333, 0.7761]]
}

(6)
{
  "formula": "K2Cd5Au5",
  "functional": "PBE",
  "state": "relaxed",
  "formation_energy_mev_per_atom": -214.3,
  "cell": [[4.6466, 0.0000, 0.0000], [0.0000, 6.0433, 0.0000], [0.0000, 0.0000, 10.3653]],
  "species": ["K", "K", "Cd", "Cd", "Cd", "Cd", "Cd", "Au", "Au", "Au", "Au", "Au"],
  "fractional_positions": [[0.0000, 0.0000, 0.0000], [0.0000, 0.5000, 0.5000], [0.0000, 0.0000, 0.3232], [0.0000, 0.0000, 0.6768], [0.0000, 0.5000, 0.1692], [0.0000, 0.5000, 0.8308], [0.5000, 0.0000, 0.5000], [0.5000, 0.2528, 0.2508], [0.5000, 0.2528, 0.7492], [0.5000, 0.5000, 0.0000], [0.5000, 0.7472, 0.2508], [0.5000, 0.7472, 0.7492]]
}

(7)
{
  "formula": "TlSCl6",
  "functional": "PBE",
  "state": "relaxed",
  "formation_energy_uncorrected_ev_per_atom": -0.233,
  "cell": [[5.0637, -4.2930, 0.0000], [5.0637, 4.2930, 0.0000], [-4.1756, 0.0000, 5.7387]],
  "species": ["Tl", "S", "Cl", "Cl", "Cl", "Cl", "Cl", "Cl"],
  "fractional_positions": [[0.0000, 0.0000, 0.0000], [0.5000, 0.5000, 0.5000], [0.1739, 0.5471, 0.2204], [0.3045, 0.3045, 0.5599], [0.4529, 0.8261, 0.7796], [0.5471, 0.1739, 0.2204], [0.6955, 0.6955, 0.4401], [0.8261, 0.4529, 0.7796]]
}

(8)
{
  "formula": "Rb2PaTe2S6",
  "functional": "PBE",
  "state": "relaxed",
  "formation_energy_uncorrected_ev_per_atom": -0.798,
  "cell": [[7.4777, -3.6104, 0.0000], [7.4777, 3.6104, 0.0000], [-4.3140, 0.0000, 6.9784]],
  "species": ["Rb", "Rb", "Pa", "Te", "Te", "S", "S", "S", "S", "S", "S"],
  "fractional_positions": [[0.2281, 0.2281, 0.2173], [0.7719, 0.7719, 0.7827], [0.0000, 0.0000, 0.5000], [0.4586, 0.4586, 0.7520], [0.5414, 0.5414, 0.2480], [0.1771, 0.6688, 0.2017], [0.1856, 0.1856, 0.5819], [0.3312, 0.8229, 0.7983], [0.6688, 0.1771, 0.2017], [0.8144, 0.8144, 0.4181], [0.8229, 0.3312, 0.7983]]
}

no.,raw total energy (eV per atom)
1,-4.646
2,-6.380
3,-6.124
4,-1.853
5,-3.879
6,-2.144
7,-2.430
8,-4.660